1.
The following is a PBE-GGA calculation of a geometry-optimized PdPt6Rh2 structure, from Alexandria.

Crystal system: trigonal
DFT formation energy in eV per atom: 0.158
Size of the total moment in μB/cell: 0.00

Cell: 2.7262 7.7252 7.7252 Å, 120.00 90.00 90.00°
Last column: nearest neighbours and their distance in Å.
Element x y z (fractional)
Pd 0.0000 0.0000 0.0000  6 Pt 2.69, 2 Pd 2.73
Pt 0.2422 0.0000 0.3370  2 Rh 2.66, 1 Pd 2.69, 8 Pt 2.73-2.96
Pt 0.2422 0.6630 0.6630  2 Rh 2.66, 1 Pd 2.69, 8 Pt 2.73-2.96
Pt 0.7578 0.0000 0.6630  2 Rh 2.66, 1 Pd 2.69, 8 Pt 2.73-2.96
Pt 0.7578 0.6630 0.0000  2 Rh 2.66, 1 Pd 2.69, 8 Pt 2.73-2.96
Pt 0.7578 0.3370 0.3370  2 Rh 2.66, 1 Pd 2.69, 8 Pt 2.73-2.96
Pt 0.2422 0.3370 0.0000  2 Rh 2.66, 1 Pd 2.69, 8 Pt 2.73-2.96
Rh 0.5000 0.6667 0.3333  6 Pt 2.66, 2 Rh 2.73
Rh 0.5000 0.3333 0.6667  6 Pt 2.66, 2 Rh 2.73

***

2.
The following is a PBE-GGA calculation of a geometry-optimized Pd8Pt2Rh structure, from Alexandria.

Crystal system: monoclinic
DFT formation energy in eV per atom: 0.326
Size of the total moment in μB/cell: 0.00

Cell: 4.6332 6.8610 6.8610 Å, 63.24 79.68 79.68°
Last column: nearest neighbours and their distance in Å.
Element x y z (fractional)
Pd 0.2171 0.3812 0.7519  1 Pt 2.63, 1 Rh 2.66, 7 Pd 2.67-2.84
Pd 0.7829 0.2481 0.6188  1 Pt 2.63, 1 Rh 2.66, 7 Pd 2.67-2.84
Pd 0.1108 0.7713 0.7713  1 Rh 2.61, 2 Pt 2.62-2.65, 4 Pd 2.69-2.72
Pd 0.8892 0.2287 0.2287  1 Rh 2.61, 2 Pt 2.62-2.65, 4 Pd 2.69-2.72
Pd 0.2171 0.7519 0.3812  1 Pt 2.63, 1 Rh 2.66, 7 Pd 2.67-2.84
Pd 0.7829 0.6188 0.2481  1 Pt 2.63, 1 Rh 2.66, 7 Pd 2.67-2.84
Pd 0.6773 0.6469 0.6469  1 Pt 2.68, 8 Pd 2.72-2.84
Pd 0.3227 0.3531 0.3531  1 Pt 2.68, 8 Pd 2.72-2.84
Pt 0.5488 0.8818 0.8818  5 Pd 2.62-2.68, 2 Rh 2.63-2.74, 1 Pt 2.70
Pt 0.4512 0.1182 0.1182  5 Pd 2.62-2.68, 2 Rh 2.63-2.74, 1 Pt 2.70
Rh 0.0000 0.0000 0.0000  6 Pd 2.61-2.66, 4 Pt 2.63-2.74